# 1
## Ga4BiAs3 (PBE)

Data for Ga4BiAs3 after structural relaxation.

abc: 5.9251 5.9251 5.9251
angles: 90.00 90.00 90.00
With the nearest neighbours (Å) after each atom.
Sites, in units of the cell vectors:
Ga (0.2384, 0.2384, 0.7616)  3 As 2.53, 1 Bi 2.68
Ga (0.2384, 0.7616, 0.2384)  3 As 2.53, 1 Bi 2.68
Ga (0.7616, 0.2384, 0.2384)  3 As 2.53, 1 Bi 2.68
Ga (0.7616, 0.7616, 0.7616)  3 As 2.53, 1 Bi 2.68
Bi (0.5000, 0.5000, 0.5000)  4 Ga 2.68
As (0.0000, 0.0000, 0.5000)  4 Ga 2.53
As (0.0000, 0.5000, 0.0000)  4 Ga 2.53
As (0.5000, 0.0000, 0.0000)  4 Ga 2.53

Summary:
The symmetry is P-43m. For the total magnetization, the calculation gives 0.0 μB/cell. As for the energy relative to the elements: -0.21 eV per atom. As for the energy above the most stable polymorph in this dataset: 0 meV/atom. Its calculated total energy is -3.9537 eV per atom.


# 2
## TaNi2Ru (PBE)

Data for TaNi2Ru after structural relaxation.

abc: 2.7604 2.7604 7.0928
angles: 90.00 90.00 90.00
With the nearest neighbours (Å) after each atom.
Sites, in units of the cell vectors:
Ta (0.0000, 0.0000, 0.0000)  4 Ni 2.67, 4 Ta 2.76, 4 Ru 2.84
Ni (0.0000, 0.0000, 0.4753)  8 Ni 2.49-2.76, 4 Ru 2.56
Ni (0.5000, 0.5000, 0.2564)  8 Ni 2.49-2.76, 4 Ta 2.67
Ru (0.5000, 0.5000, 0.7089)  4 Ni 2.56, 4 Ru 2.76, 4 Ta 2.84

Summary:
The symmetry is P4mm. For the total magnetization, the calculation gives 0.1 μB/cell. As for the energy relative to the elements: 0.01 eV per atom. As for the energy above the most stable polymorph in this dataset: 332 meV/atom. Its calculated total energy is -8.1650 eV per atom.


# 3
## Sb2Se2S (PBE)

Data for Sb2Se2S after structural relaxation.

abc: 7.9631 7.9631 3.7375
angles: 90.00 90.00 90.00
With the nearest neighbours (Å) after each atom.
Sites, in units of the cell vectors:
Sb (0.1678, 0.3322, 0.0000)  6 Se 2.82-3.12
Sb (0.3322, 0.8322, 0.0000)  6 Se 2.82-3.12
Sb (0.6678, 0.1678, 0.0000)  6 Se 2.82-3.12
Sb (0.8322, 0.6678, 0.0000)  6 Se 2.82-3.12
Se (0.1447, 0.6447, 0.5000)  6 Sb 2.82-3.12, 2 S 3.06
Se (0.3553, 0.1447, 0.5000)  6 Sb 2.82-3.12, 2 S 3.06
Se (0.6447, 0.8553, 0.5000)  6 Sb 2.82-3.12, 2 S 3.06
Se (0.8553, 0.3553, 0.5000)  6 Sb 2.82-3.12, 2 S 3.06
S (0.0000, 0.0000, 0.5000)  4 Se 3.06
S (0.5000, 0.5000, 0.5000)  4 Se 3.06

Summary:
The formation energy from raw total energies is 0.33 eV per atom. The symmetry is P4/mbm. For the total magnetization, the calculation gives 0.0 μB/cell. Its calculated total energy is -3.5365 eV per atom.


# 4
## Ac3Pm4Sm2 (PBE)

Data for Ac3Pm4Sm2 after structural relaxation.

abc: 8.4211 8.4211 8.4408
angles: 107.55 107.55 36.53
With the nearest neighbours (Å) after each atom.
Sites, in units of the cell vectors:
Ac (0.0000, 0.0000, 0.0000)  4 Sm 3.75, 6 Pm 3.75-3.77, 2 Ac 3.82
Ac (0.1134, 0.1134, 0.6645)  6 Pm 3.73-3.77, 4 Sm 3.75-3.82, 2 Ac 3.80-3.82
Ac (0.8866, 0.8866, 0.3355)  6 Pm 3.73-3.77, 4 Sm 3.75-3.82, 2 Ac 3.80-3.82
Pm (0.2210, 0.2210, 0.3324)  3 Sm 3.70-3.76, 4 Ac 3.73-3.75, 5 Pm 3.74-3.77
Pm (0.3316, 0.3316, 0.9991)  5 Pm 3.72-3.77, 5 Ac 3.73-3.77, 2 Sm 3.75-3.82
Pm (0.6684, 0.6684, 0.0009)  5 Pm 3.72-3.77, 5 Ac 3.73-3.77, 2 Sm 3.75-3.82
Pm (0.7790, 0.7790, 0.6676)  3 Sm 3.70-3.76, 4 Ac 3.73-3.75, 5 Pm 3.74-3.77
Sm (0.4416, 0.4416, 0.6676)  5 Pm 3.70-3.82, 6 Ac 3.75-3.82, 1 Sm 3.85
Sm (0.5584, 0.5584, 0.3324)  5 Pm 3.70-3.82, 6 Ac 3.75-3.82, 1 Sm 3.85

Summary:
The symmetry is C2/m. For the total magnetization, the calculation gives 0.0 μB/cell. As for the energy relative to the elements: 0.04 eV per atom. Its calculated total energy is -4.4892 eV per atom.


# 5
## MgCd5Hg2 (PBE)

Data for MgCd5Hg2 after structural relaxation.

abc: 6.0743 16.2102 3.7357
angles: 90.00 90.00 90.00
With the nearest neighbours (Å) after each atom.
Sites, in units of the cell vectors:
Mg (0.0000, 0.0000, 0.0000)  4 Hg 3.02, 6 Cd 3.04-3.20
Mg (0.5000, 0.5000, 0.0000)  4 Hg 3.02, 6 Cd 3.04-3.20
Cd (0.0000, 0.5000, 0.0000)  2 Mg 3.04, 4 Cd 3.10, 4 Hg 3.17
Cd (0.0250, 0.2544, 0.0000)  6 Cd 3.04-3.16, 4 Hg 3.15-3.25
Cd (0.2332, 0.6255, 0.5000)  2 Hg 2.99-3.09, 6 Cd 3.10-3.16, 2 Mg 3.20
Cd (0.2668, 0.1255, 0.5000)  2 Hg 2.99-3.09, 6 Cd 3.10-3.16, 2 Mg 3.20
Cd (0.4750, 0.7544, 0.0000)  6 Cd 3.04-3.16, 4 Hg 3.15-3.25
Cd (0.5000, 0.0000, 0.0000)  2 Mg 3.04, 4 Cd 3.10, 4 Hg 3.17
Cd (0.5250, 0.2456, 0.0000)  6 Cd 3.04-3.16, 4 Hg 3.15-3.25
Cd (0.7332, 0.8745, 0.5000)  2 Hg 2.99-3.09, 6 Cd 3.10-3.16, 2 Mg 3.20
Cd (0.7668, 0.3745, 0.5000)  2 Hg 2.99-3.09, 6 Cd 3.10-3.16, 2 Mg 3.20
Cd (0.9750, 0.7456, 0.0000)  6 Cd 3.04-3.16, 4 Hg 3.15-3.25
Hg (0.2254, 0.8801, 0.5000)  8 Cd 2.99-3.25, 2 Mg 3.02
Hg (0.2746, 0.3801, 0.5000)  8 Cd 2.99-3.25, 2 Mg 3.02
Hg (0.7254, 0.6199, 0.5000)  8 Cd 2.99-3.25, 2 Mg 3.02
Hg (0.7746, 0.1199, 0.5000)  8 Cd 2.99-3.25, 2 Mg 3.02

Summary:
The symmetry is Pbam. For the total magnetization, the calculation gives 0.0 μB/cell. As for the energy relative to the elements: -0.03 eV per atom. As for the energy above the most stable polymorph in this dataset: 0 meV/atom. Its calculated total energy is -0.8791 eV per atom.


# 6
## MgTe2Os (PBE)

Data for MgTe2Os after structural relaxation.

abc: 5.1773 5.1773 7.0747
angles: 109.36 109.36 37.24
With the nearest neighbours (Å) after each atom.
Sites, in units of the cell vectors:
Mg (0.0000, 0.0000, 0.0000)  3 Os 2.73-2.75
Te (0.6020, 0.6020, 0.6879)  2 Os 2.66
Te (0.7937, 0.7937, 0.2701)  2 Os 2.65
Os (0.2696, 0.2696, 0.9680)  4 Te 2.65-2.66, 3 Mg 2.73-2.75

Summary:
The formation energy from raw total energies is 0.10 eV per atom. The symmetry is Cm. For the total magnetization, the calculation gives 0.0 μB/cell. Its calculated total energy is -4.6736 eV per atom.


# 7
## CaHAu3 (PBE)

Data for CaHAu3 after structural relaxation.

abc: 4.4104 4.4104 4.4104
angles: 90.00 90.00 90.00
With the nearest neighbours (Å) after each atom.
Sites, in units of the cell vectors:
Ca (0.0000, 0.0000, 0.0000)  12 Au 3.12
H (0.5000, 0.5000, 0.5000)  6 Au 2.21
Au (0.0000, 0.5000, 0.5000)  2 H 2.21
Au (0.5000, 0.0000, 0.5000)  2 H 2.21
Au (0.5000, 0.5000, 0.0000)  2 H 2.21

Summary:
The symmetry is Pm-3m. For the total magnetization, the calculation gives 0.0 μB/cell. As for the energy above the most stable polymorph in this dataset: 0 meV/atom. Its calculated total energy is -3.1976 eV per atom.


# 8
## NaNd2Se3 (PBE)

Data for NaNd2Se3 after structural relaxation.

abc: 7.3838 7.3838 7.3838
angles: 146.85 132.23 59.37
With the nearest neighbours (Å) after each atom.
Sites, in units of the cell vectors:
Na (0.0000, 0.0000, 0.0000)  6 Se 2.99-3.02
Nd (0.3356, 0.3356, 0.0000)  6 Se 2.98-3.01
Nd (0.6644, 0.6644, 0.0000)  6 Se 2.98-3.01
Se (0.1684, 0.6684, 0.5000)  4 Nd 2.99-3.01, 2 Na 3.02
Se (0.5000, 0.0000, 0.5000)  4 Nd 2.98, 2 Na 2.99
Se (0.8316, 0.3316, 0.5000)  4 Nd 2.99-3.01, 2 Na 3.02

Summary:
The formation energy from raw total energies is -1.74 eV per atom. The symmetry is Immm. For the total magnetization, the calculation gives 0.0 μB/cell. Its calculated total energy is -5.2878 eV per atom.